# KNa6Br8 GGA-PBE optimized geometry
# Energy in eV/atom: -2.88
data_KNa6Br8
_cell_length_a 12.167
_cell_length_b 12.167
_cell_length_c 12.167
_cell_angle_alpha 90.00
_cell_angle_beta 90.00
_cell_angle_gamma 90.00
_space_group_name_H-M_alt 'F m -3 m'
_space_group_IT_number 225
_space_group_name_Hall '-F 4 2 3'
loop_
_atom_site_label
_atom_site_type_symbol
_atom_site_fract_x
_atom_site_fract_y
_atom_site_fract_z
K1 K 0.000 0.000 0.000
Na1 Na 0.000 0.250 0.250
Br1 Br 0.000 0.000 0.260
Br2 Br 0.250 0.250 0.250

=====

# Al2OsCl GGA-PBE optimized geometry
# Distance to the lowest polymorph of the same formula in kJ per mole of atoms: 98.9
data_Al2OsCl
_cell_length_a 2.843
_cell_length_b 4.648
_cell_length_c 4.766
_cell_angle_alpha 90.00
_cell_angle_beta 90.00
_cell_angle_gamma 90.00
_space_group_name_H-M_alt 'P m m m'
_space_group_IT_number 47
loop_
_space_group_symop_operation_xyz
'x,y,z'
'-x,-y,-z'
'-x,-y,z'
'x,y,-z'
'x,-y,-z'
'-x,y,z'
'-x,y,-z'
'x,-y,z'
loop_
_atom_site_label
_atom_site_type_symbol
_atom_site_fract_x
_atom_site_fract_y
_atom_site_fract_z
Al1 Al 0.000 0.000 0.000
Al2 Al 0.500 0.500 0.000
Os1 Os 0.000 0.500 0.500
Cl1 Cl 0.500 0.000 0.500

=====

# SbSeCl2 GGA-PBE optimized geometry
# Distance to the lowest polymorph of the same formula in kJ per mole of atoms: 61.9
data_SbSeCl2
_cell_length_a 7.098
_cell_length_b 7.098
_cell_length_c 7.098
_cell_angle_alpha 90.00
_cell_angle_beta 90.00
_cell_angle_gamma 90.00
_space_group_name_H-M_alt 'F m -3 m'
_space_group_IT_number 225
_space_group_name_Hall '-F 4 2 3'
loop_
_atom_site_label
_atom_site_type_symbol
_atom_site_fract_x
_atom_site_fract_y
_atom_site_fract_z
Sb1 Sb 0.000 0.000 0.000
Se1 Se 0.000 0.000 0.500
Cl1 Cl 0.250 0.250 0.250

=====

# K4Cd GGA-PBE optimized geometry
# Distance to the lowest polymorph of the same formula in kJ per mole of atoms: 5.6
# Formation enthalpy at 0 K in eV per atom: 0.05
data_K4Cd
_cell_length_a 8.583
_cell_length_b 8.583
_cell_length_c 8.583
_cell_angle_alpha 90.00
_cell_angle_beta 90.00
_cell_angle_gamma 90.00
_space_group_name_H-M_alt 'I m -3 m'
_space_group_IT_number 229
_space_group_name_Hall '-I 4 2 3'
loop_
_atom_site_label
_atom_site_type_symbol
_atom_site_fract_x
_atom_site_fract_y
_atom_site_fract_z
K1 K 0.250 0.250 0.250
Cd1 Cd 0.000 0.000 0.000

=====

# KHoCdBr6 GGA-PBE optimized geometry
# Energy in eV/atom: -3.37
data_KHoCdBr6
_cell_length_a 7.2671
_cell_length_b 7.2671
_cell_length_c 14.6078
_cell_angle_alpha 90.00
_cell_angle_beta 90.00
_cell_angle_gamma 120.00
_space_group_name_H-M_alt 'P -3 1 c'
_space_group_IT_number 163
_space_group_name_Hall '-P 3 2c'
loop_
_atom_site_label
_atom_site_type_symbol
_atom_site_fract_x
_atom_site_fract_y
_atom_site_fract_z
K1 K 0.0000 0.0000 0.0000
Ho1 Ho 0.3333 0.6667 0.2500
Cd1 Cd 0.3333 0.6667 0.7500
Br1 Br 0.0018 0.3720 0.1388

=====

# NbCdPS2 GGA-PBE optimized geometry
# Distance to the lowest polymorph of the same formula in kJ per mole of atoms: 123.5
data_NbCdPS2
_cell_length_a 4.820
_cell_length_b 4.820
_cell_length_c 4.838
_cell_angle_alpha 90.00
_cell_angle_beta 90.00
_cell_angle_gamma 90.00
_space_group_name_H-M_alt 'P 4/m m m'
_space_group_IT_number 123
_space_group_name_Hall '-P 4 2'
loop_
_atom_site_label
_atom_site_type_symbol
_atom_site_fract_x
_atom_site_fract_y
_atom_site_fract_z
Nb1 Nb 0.000 0.000 0.000
Cd1 Cd 0.500 0.500 0.500
P1 P 0.500 0.500 0.000
S1 S 0.000 0.500 0.500

=====

What DOS(E_F) values result from the calculations? In sequence: 68.53; 3.74; 13.07; 6.98; 0.00; 7.10 states/eV/cell.